(1)
Here is a geometry-optimized Sr3TaZn structure from the Alexandria database. Energies are from GGA-PBE.

Lattice parameters (Å, degrees): 5.9133 5.9133 5.9133 90.00 90.00 90.00
Site moments in Bohr magnetons follow the coordinates.
Positions (direct):
Ta1 0.5000 0.5000 0.5000  2.20
Sr1 0.5000 0.0000 0.0000  0.01
Sr2 0.0000 0.5000 0.0000  0.00
Sr3 0.0000 0.0000 0.5000  0.03
Zn1 0.0000 0.0000 0.0000  -0.07

Summary:
Offset from the most stable computed form   0 meV/atom
Total magnetization   0.801 μB/atom
Crystal system   cubic
Formation energy   0.978 eV/atom
D(E_F)   7.602 states/eV/cell

(2)
Here is a geometry-optimized SrTaZn2 structure from the Alexandria database. Energies are from GGA-PBE.

Lattice parameters (Å, degrees): 4.6894 4.6894 6.5660 80.50 80.50 40.35
Positions (direct):
Zn1 0.4910 0.4910 0.5774
Zn2 0.0090 0.0090 0.9226
Sr1 0.2500 0.2500 0.2500
Ta1 0.7500 0.7500 0.7500

Summary:
Total magnetization   0.000 μB/atom
Crystal system   monoclinic
Formation energy   0.371 eV/atom
D(E_F)   3.160 states/eV/cell

(3)
Here is a geometry-optimized SrTaZn2 structure from the Alexandria database. Energies are from GGA-PBE.

Lattice parameters (Å, degrees): 3.0812 3.0812 8.6147 90.00 90.00 90.00
Positions (direct):
Sr1 0.0000 0.0000 0.4839
Zn1 0.5000 0.5000 0.1958
Zn2 0.0000 0.0000 0.0126
Ta1 0.5000 0.5000 0.8077

Summary:
Total magnetization   0.000 μB/atom
Crystal system   tetragonal
Formation energy   0.337 eV/atom
D(E_F)   2.528 states/eV/cell

(4)
Here is a geometry-optimized SrTaZn4 structure from the Alexandria database. Energies are from GGA-PBE.

Lattice parameters (Å, degrees): 5.3739 5.3739 5.3739 60.00 60.00 60.00
Site moments in Bohr magnetons follow the coordinates.
Positions (direct):
Zn1 0.3729 0.8812 0.3729  0.00
Zn2 0.8812 0.3729 0.3729  0.00
Zn3 0.3729 0.3729 0.3729  0.00
Zn4 0.3729 0.3729 0.8812  0.00
Ta1 0.0000 0.0000 0.0000  0.82
Sr1 0.7500 0.7500 0.7500  0.07

Summary:
Total magnetization   0.238 μB/atom
Crystal system   cubic
Formation energy   0.210 eV/atom
D(E_F)   6.296 states/eV/cell